Entry 1:
Below is a geometry-optimized Sc2In3Hg structure, with properties calculated at the PBE level.

* energy of formation: -344 meV per atom
* crystal system: orthorhombic

a b c (Å): 4.459 13.611 4.490
angles (deg): 90.00 90.00 90.00
Space group Cmmm (No. 65)
Symmetry-distinct sites (fractional):
Sc (0.000, 0.158, 0.000) [4 per cell]
In (0.000, 0.325, 0.500) [4 per cell]
In (0.000, 0.500, 0.000) [2 per cell]
Hg (0.000, 0.000, 0.500) [2 per cell]

***

Entry 2:
Below is a geometry-optimized NaCrH2 structure, with properties calculated at the PBE level.

* ΔE to the lowest computed polymorph: 0.292 eV per atom
* crystal system: cubic

a b c (Å): 5.678 5.678 5.678
angles (deg): 90.00 90.00 90.00
Space group Fm-3m (No. 225)
Symmetry-distinct sites (fractional):
Na (0.000, 0.000, 0.000) [4 per cell]
Cr (0.000, 0.000, 0.500) [4 per cell]
H (0.250, 0.250, 0.250) [8 per cell]

***

Entry 3:
Below is a geometry-optimized BaZn2FeAu structure, with properties calculated at the PBE level.

* energy of formation: -30 meV per atom
* crystal system: tetragonal

a b c (Å): 4.809 4.809 5.105
angles (deg): 90.00 90.00 90.00
Space group P4/mmm (No. 123)
Symmetry-distinct sites (fractional):
Ba (0.000, 0.000, 0.000) [1 per cell]
Zn (0.000, 0.500, 0.500) [2 per cell]
Fe (0.500, 0.500, 0.500) [1 per cell]
Au (0.500, 0.500, 0.000) [1 per cell]